A plane-wave DFT calculation with PBE-GGA was carried out for Nd2HoPuS4 after structural relaxation.

For the spin magnetization, the calculation gives 0.709 μB/atom. Its uncorrected formation energy is -45.3 kcal/mol of atoms. For the calculated volume, the calculation gives 22.54 A^3/atom. Its space-group type is P2/m.

```
Nd2HoPuS4
1.0
3.9717 0.0000 0.0000
0.0000 6.9087 0.1323
0.0000 -2.4020 6.5250
Nd S Ho Pu
2 4 1 1
direct
0.0000 0.5000 0.5000
0.5000 0.0000 0.5000
0.0000 0.7482 0.2374
0.0000 0.2518 0.7626
0.5000 0.7578 0.7644
0.5000 0.2422 0.2356
0.0000 0.0000 0.0000
0.5000 0.5000 0.0000
```

---

A plane-wave DFT calculation with PBE-GGA was carried out for Nd4Ho3PuS8 after structural relaxation.

For the spin magnetization, the calculation gives 0.350 μB/atom. Its uncorrected formation energy is -45.8 kcal/mol of atoms. For the calculated volume, the calculation gives 22.39 A^3/atom. Its space-group type is R-3m.

```
Nd4Ho3PuS8
1.0
-2.6182 5.2346 5.3659
-7.5507 -2.0580 -1.6766
5.2259 -5.5875 2.1257
Nd S Ho Pu
4 8 3 1
direct
0.5000 0.0000 0.5000
0.0000 0.0000 0.0000
0.5000 0.0000 0.0000
0.0000 0.0000 0.5000
0.2464 0.7350 0.9887
0.2558 0.2673 0.5116
0.2464 0.7350 0.4927
0.7423 0.7350 0.9887
0.7536 0.2650 0.0113
0.7536 0.2650 0.5073
0.2577 0.2650 0.0113
0.7442 0.7327 0.4884
0.5000 0.5000 0.0000
0.5000 0.5000 0.5000
0.0000 0.5000 0.5000
0.0000 0.5000 0.0000
```

---

A plane-wave DFT calculation with PBE-GGA was carried out for Nd4HoPu3S8 after structural relaxation.

For the spin magnetization, the calculation gives 1.048 μB/atom. Its uncorrected formation energy is -44.8 kcal/mol of atoms. For the calculated volume, the calculation gives 22.67 A^3/atom. Its space-group type is R-3m.

```
Nd4HoPu3S8
1.0
7.9797 0.0000 0.0000
0.0000 8.0310 0.0303
-3.9899 -3.9863 5.6454
S Nd Ho Pu
8 4 1 3
direct
0.2447 0.7378 0.9931
0.7485 0.7378 0.9931
0.7554 0.2622 0.5107
0.2446 0.7378 0.4893
0.2515 0.2622 0.0069
0.2538 0.2613 0.5075
0.7462 0.7387 0.4925
0.7553 0.2622 0.0069
0.5000 0.0000 0.0000
0.0000 0.0000 0.5000
0.5000 0.0000 0.5000
0.0000 0.0000 0.0000
0.0000 0.5000 0.0000
0.5000 0.5000 0.0000
0.0000 0.5000 0.5000
0.5000 0.5000 0.5000
```

---

A plane-wave DFT calculation with PBE-GGA was carried out for NdHo2PuS4 after structural relaxation.

For the spin magnetization, the calculation gives 0.730 μB/atom. Its uncorrected formation energy is -45.1 kcal/mol of atoms. For the calculated volume, the calculation gives 21.79 A^3/atom. Its space-group type is P2/m.

```
NdHo2PuS4
1.0
3.9271 0.0000 0.0000
0.0000 6.8369 0.1320
0.0000 -2.3753 6.4478
Ho S Nd Pu
2 4 1 1
direct
0.5000 0.0000 0.5000
0.0000 0.5000 0.5000
0.0000 0.2508 0.7405
0.0000 0.7492 0.2595
0.5000 0.7416 0.7369
0.5000 0.2584 0.2631
0.0000 0.0000 0.0000
0.5000 0.5000 0.0000
```

---

A plane-wave DFT calculation with PBE-GGA was carried out for NdHoPu2Sb4 after structural relaxation.

For the spin magnetization, the calculation gives 0.005 μB/atom. Its uncorrected formation energy is -19.6 kcal/mol of atoms. For the calculated volume, the calculation gives 30.90 A^3/atom. Its space-group type is P2/m.

```
NdHoPu2Sb4
1.0
-3.9542 0.3681 1.9965
-2.8819 -5.3500 -4.7214
2.8466 -3.3842 6.2618
Sb Nd Pu Ho
4 1 2 1
direct
0.0000 0.2545 0.7495
0.0000 0.7455 0.2505
0.5000 0.2567 0.2543
0.5000 0.7433 0.7457
0.0000 0.0000 0.0000
0.5000 0.0000 0.5000
0.0000 0.5000 0.5000
0.5000 0.5000 0.0000
```

---

A plane-wave DFT calculation with PBE-GGA was carried out for NdHoPuSc after structural relaxation.

For the spin magnetization, the calculation gives 1.507 μB/atom. As for the calculated total energy: -7.303 eV per atom. For the calculated volume, the calculation gives 29.56 A^3/atom. Its space-group type is F-43m.

```
NdHoPuSc
1.0
5.5095 0.0000 0.0000
2.7548 4.7714 0.0000
2.7548 1.5905 4.4985
Pu Sc Nd Ho
1 1 1 1
direct
0.0000 0.0000 0.0000
0.2500 0.2500 0.2500
0.5000 0.5000 0.5000
0.7500 0.7500 0.7500
```

---

A plane-wave DFT calculation with PBE-GGA was carried out for NdHo3Pu2Se6 after structural relaxation.

For the spin magnetization, the calculation gives 0.982 μB/atom. Its uncorrected formation energy is -39.3 kcal/mol of atoms. For the calculated volume, the calculation gives 24.63 A^3/atom. Its space-group type is C2/m.

```
NdHo3Pu2Se6
1.0
-6.0828 -3.5378 -0.9454
3.2311 -0.1069 6.3213
-2.5356 6.7125 0.0807
Pu Se Ho Nd
2 6 3 1
direct
0.3330 0.6670 0.0000
0.6670 0.3330 0.0000
0.4250 0.0869 0.2601
0.2520 0.2520 0.7409
0.0869 0.4250 0.2601
0.5750 0.9131 0.7399
0.9131 0.5750 0.7399
0.7480 0.7480 0.2591
0.8353 0.1647 0.5000
0.1647 0.8353 0.5000
0.5000 0.5000 0.5000
0.0000 0.0000 0.0000
```

---

A plane-wave DFT calculation with PBE-GGA was carried out for Nd2HoPuSe5 after structural relaxation.

For the spin magnetization, the calculation gives 0.722 μB/atom. Its uncorrected formation energy is -28.1 kcal/mol of atoms. For the calculated volume, the calculation gives 31.24 A^3/atom. Its space-group type is P4/mmm.

```
Nd2HoPuSe5
1.0
5.0774 0.0000 0.0000
0.0000 5.0774 0.0000
0.0000 0.0000 10.9056
Ho Nd Se Pu
1 2 5 1
direct
0.0000 0.0000 0.5000
0.5000 0.5000 0.2881
0.5000 0.5000 0.7119
0.0000 0.0000 0.7510
0.5000 0.0000 0.5000
0.5000 0.5000 0.0000
0.0000 0.5000 0.5000
0.0000 0.0000 0.2490
0.0000 0.0000 0.0000
```